Entry 1:
# Si2AgHgTe6

A relaxed Si2AgHgTe6 crystal (GGA-PBE, Alexandria via LeMat-Bulk).

Geometry as POSCAR:
```
Si2AgHgTe6
1.0
6.9847 0.1882 0.1953
2.4243 10.1562 -0.1070
2.4243 -0.4834 10.1453
Te Si Hg Ag
12 4 2 2
Direct
0.9129 0.4304 0.8765 Te
0.5575 0.4190 0.2800 Te
0.4129 0.8765 0.4304 Te
0.9186 0.9844 0.2250 Te
0.5871 0.1235 0.5696 Te
0.5814 0.7750 0.0156 Te
0.0814 0.0156 0.7750 Te
0.0575 0.2800 0.4190 Te
0.4186 0.2250 0.9844 Te
0.0871 0.5696 0.1235 Te
0.4425 0.5810 0.7200 Te
0.9425 0.7200 0.5810 Te
0.2642 0.3580 0.2087 Si
0.7642 0.2087 0.3580 Si
0.7358 0.6420 0.7913 Si
0.2358 0.7913 0.6420 Si
0.2500 0.9989 0.0011 Hg
0.7500 0.0011 0.9989 Hg
0.7500 0.6759 0.3241 Ag
0.2500 0.3241 0.6759 Ag
```

Properties
SG: C2/c, No. 15
D(E_F): 0.3652 states/eV per atom
raw formation energy: 2.55 kJ/mol of atoms
E: -0.1197 hartree per atom


Entry 2:
# Ce2SmZrN4

A relaxed Ce2SmZrN4 crystal (GGA-PBE, Alexandria via LeMat-Bulk).

Geometry as POSCAR:
```
Ce2SmZrN4
1.0
3.4706 0.0000 0.0000
0.0000 6.0438 0.1152
0.0000 -2.1027 5.6850
Zr N Sm Ce
1 4 1 2
Direct
0.0000 0.0000 0.0000 Zr
0.0000 0.7666 0.2436 N
0.5000 0.2298 0.2340 N
0.5000 0.7702 0.7660 N
0.0000 0.2334 0.7564 N
0.5000 0.5000 0.0000 Sm
0.5000 0.0000 0.5000 Ce
0.0000 0.5000 0.5000 Ce
```

Properties
SG: P2/m, No. 10
D(E_F): 0.6714 states/eV per atom
raw formation energy: -149.81 kJ/mol of atoms
E: -0.3255 hartree per atom


Entry 3:
# KAcZrO4

A relaxed KAcZrO4 crystal (GGA-PBE, Alexandria via LeMat-Bulk).

Geometry as POSCAR:
```
KAcZrO4
1.0
4.1403 0.0000 0.0000
0.0000 4.1403 0.0000
-2.0701 -2.0701 6.6385
O Ac Zr K
4 1 1 1
Direct
0.4871 0.9871 0.9742 O
0.8417 0.8417 0.6833 O
0.9871 0.4871 0.9742 O
0.1674 0.1674 0.3348 O
0.3531 0.3531 0.7062 Ac
0.0124 0.0124 0.0249 Zr
0.6513 0.6513 0.3025 K
```

Properties
SG: I4mm, No. 107
D(E_F): 0.0000 states/eV per atom
raw formation energy: -285.04 kJ/mol of atoms
E: -0.2849 hartree per atom


Entry 4:
# Tl2GeBiAu4

A relaxed Tl2GeBiAu4 crystal (GGA-PBE, Alexandria via LeMat-Bulk).

Geometry as POSCAR:
```
Tl2GeBiAu4
1.0
-1.5441 5.5836 -3.8856
2.8020 -2.5320 -4.7520
-7.9421 -3.9796 -2.5626
Tl Au Ge Bi
4 8 2 2
Direct
0.4836 0.1731 0.2850 Tl
0.9836 0.8269 0.2150 Tl
0.9836 0.8269 0.7850 Tl
0.4836 0.1731 0.7150 Tl
0.3987 0.6655 0.7373 Au
0.7182 0.0943 0.0000 Au
0.8987 0.3345 0.2373 Au
0.2182 0.9057 0.5000 Au
0.3079 0.9696 0.0000 Au
0.8987 0.3345 0.7627 Au
0.8079 0.0304 0.5000 Au
0.3987 0.6655 0.2627 Au
0.5987 0.6832 0.5000 Ge
0.0987 0.3168 0.0000 Ge
0.6106 0.6105 0.0000 Bi
0.1106 0.3895 0.5000 Bi
```

Properties
SG: Pmn2_1, No. 31
energy relative to the elements: 0.03 eV per atom
D(E_F): 0.3880 states/eV per atom
E: -0.1200 hartree per atom


Entry 5:
# Co5Re4B2

A relaxed Co5Re4B2 crystal (GGA-PBE, Alexandria via LeMat-Bulk).

Geometry as POSCAR:
```
Co5Re4B2
1.0
-2.2749 -0.0113 1.4999
-1.3656 -5.8446 -2.1153
3.6894 -2.9074 5.5739
Re B Co
4 2 5
Direct
0.5000 0.7724 0.5233 Re
0.5000 0.1795 0.8623 Re
0.5000 0.2276 0.4767 Re
0.5000 0.8205 0.1377 Re
0.0000 0.9637 0.3581 B
0.0000 0.0363 0.6419 B
0.0000 0.8192 0.8376 Co
0.0000 0.1808 0.1624 Co
0.0000 0.5000 0.0000 Co
0.0000 0.5278 0.3235 Co
0.0000 0.4722 0.6765 Co
```

Properties
SG: P2/m, No. 10
energy relative to the elements: 0.08 eV per atom
D(E_F): 1.0885 states/eV per atom
E: -0.3268 hartree per atom


Entry 6:
# AcSm5Y2Er

A relaxed AcSm5Y2Er crystal (GGA-PBE, Alexandria via LeMat-Bulk).

Geometry as POSCAR:
```
AcSm5Y2Er
1.0
-0.2352 3.2696 -4.4902
-8.8475 -8.5366 -2.3109
-6.3592 5.4303 4.2873
Er Sm Ac Y
2 10 2 4
Direct
0.7596 0.5192 0.5396 Er
0.2404 0.4808 0.0396 Er
0.3079 0.6159 0.7242 Sm
0.0100 0.0201 0.5293 Sm
0.7419 0.4839 0.8676 Sm
0.9900 0.9799 0.0293 Sm
0.2581 0.5161 0.3676 Sm
0.6921 0.3841 0.2242 Sm
0.6053 0.2105 0.5279 Sm
0.3947 0.7895 0.0279 Sm
0.4764 0.9527 0.7502 Sm
0.5236 0.0473 0.2502 Sm
0.6020 0.2040 0.9288 Ac
0.3980 0.7960 0.4288 Ac
0.1127 0.2253 0.2756 Y
0.8280 0.6560 0.1808 Y
0.1720 0.3440 0.6808 Y
0.8873 0.7747 0.7756 Y
```

Properties
SG: Cmc2_1, No. 36
energy relative to the elements: 0.14 eV per atom
D(E_F): 1.3261 states/eV per atom
E: -0.1793 hartree per atom


Entry 7:
# Cs2P4Pd5

A relaxed Cs2P4Pd5 crystal (GGA-PBE, Alexandria via LeMat-Bulk).

Geometry as POSCAR:
```
Cs2P4Pd5
1.0
4.7354 -3.3429 -2.7153
5.2064 3.4347 -1.4384
8.5640 -1.2421 3.4345
P Pd Cs
4 5 2
Direct
0.8678 0.8678 0.8413 P
0.6705 0.6705 0.7898 P
0.3295 0.3295 0.2102 P
0.1322 0.1322 0.1587 P
0.7989 0.3926 0.0604 Pd
0.6074 0.2011 0.9396 Pd
0.0000 0.0000 0.5000 Pd
0.3926 0.7989 0.0604 Pd
0.2011 0.6074 0.9396 Pd
0.2869 0.2869 0.6153 Cs
0.7131 0.7131 0.3847 Cs
```

Properties
SG: C2/m, No. 12
energy relative to the elements: -0.41 eV per atom
D(E_F): 0.2833 states/eV per atom
E: -0.1797 hartree per atom


Entry 8:
# Ac2La2Tl4In

A relaxed Ac2La2Tl4In crystal (GGA-PBE, Alexandria via LeMat-Bulk).

Geometry as POSCAR:
```
Ac2La2Tl4In
1.0
7.5593 0.0857 0.1237
-3.5534 6.6726 -0.1237
-3.5534 -2.4601 6.2037
Tl Ac In La
4 2 1 2
Direct
0.0000 0.2562 0.7438 Tl
0.5124 0.2562 0.2562 Tl
0.0000 0.7438 0.2562 Tl
0.4876 0.7438 0.7438 Tl
0.0000 0.3051 0.3051 Ac
0.0000 0.6949 0.6949 Ac
0.0000 0.0000 0.0000 In
0.5000 0.7500 0.2500 La
0.5000 0.2500 0.7500 La
```

Properties
SG: I4/mmm, No. 139
energy relative to the elements: -0.09 eV per atom
D(E_F): 0.8916 states/eV per atom
E: -0.1271 hartree per atom


Entry 9:
# Sc3TlH

A relaxed Sc3TlH crystal (GGA-PBE, Alexandria via LeMat-Bulk).

Geometry as POSCAR:
```
Sc3TlH
1.0
6.2239 -0.0001 0.0136
0.0002 4.9545 0.0000
1.5232 -0.0002 6.2423
Tl Sc H
2 6 2
Direct
0.1321 0.3243 0.1972 Tl
0.4032 0.8243 0.6482 Tl
0.6162 0.3292 0.8451 Sc
0.3940 0.8212 0.1645 Sc
0.6421 0.3335 0.3259 Sc
0.1413 0.3212 0.6809 Sc
0.8933 0.8335 0.5194 Sc
0.9192 0.8291 0.0003 Sc
0.6505 0.0746 0.0830 H
0.8849 0.5746 0.7623 H
```

Properties
SG: P2_1, No. 4
D(E_F): 0.9397 states/eV per atom
E: -0.1953 hartree per atom
distance to the lowest polymorph of the same formula: 0 meV per atom


Entry 10:
# Cd5Ag3

A relaxed Cd5Ag3 crystal (GGA-PBE, Alexandria via LeMat-Bulk).

Geometry as POSCAR:
```
Cd5Ag3
1.0
-1.7322 1.7987 5.3715
4.3557 -2.3857 3.2288
2.4804 3.8613 -0.4931
Ag Cd
3 5
Direct
0.5000 0.5000 0.0000 Ag
0.2427 0.2427 0.5000 Ag
0.7573 0.7573 0.5000 Ag
0.7353 0.2647 0.5000 Cd
0.0000 0.5000 0.0000 Cd
0.2647 0.7353 0.5000 Cd
0.5000 0.0000 0.0000 Cd
0.0000 0.0000 0.0000 Cd
```

Properties
SG: Cmmm, No. 65
energy relative to the elements: -0.01 eV per atom
D(E_F): 0.3561 states/eV per atom
E: -0.0608 hartree per atom
distance to the lowest polymorph of the same formula: 16 meV per atom


Entry 11:
# Mg5Hg2IrRh2

A relaxed Mg5Hg2IrRh2 crystal (GGA-PBE, Alexandria via LeMat-Bulk).

Geometry as POSCAR:
```
Mg5Hg2IrRh2
1.0
3.1587 0.0000 0.0000
0.0000 10.8763 0.0000
0.0000 0.0000 10.8763
Ir Rh Mg Hg
2 4 10 4
Direct
0.0000 0.5000 0.5000 Ir
0.0000 0.0000 0.0000 Ir
0.0000 0.8635 0.3635 Rh
0.0000 0.1365 0.6365 Rh
0.0000 0.6365 0.8635 Rh
0.0000 0.3635 0.1365 Rh
0.5000 0.8085 0.9439 Mg
0.5000 0.6915 0.4439 Mg
0.5000 0.4439 0.3085 Mg
0.5000 0.9439 0.1915 Mg
0.5000 0.0561 0.8085 Mg
0.5000 0.1915 0.0561 Mg
0.5000 0.5000 0.0000 Mg
0.5000 0.3085 0.5561 Mg
0.5000 0.0000 0.5000 Mg
0.5000 0.5561 0.6915 Mg
0.0000 0.6756 0.1756 Hg
0.0000 0.1756 0.3244 Hg
0.0000 0.3244 0.8244 Hg
0.0000 0.8244 0.6756 Hg
```

Properties
SG: P4/mbm, No. 127
energy relative to the elements: -0.27 eV per atom
D(E_F): 0.3405 states/eV per atom
E: -0.1282 hartree per atom


Entry 12:
# Tb7Sm2Mg2

A relaxed Tb7Sm2Mg2 crystal (GGA-PBE, Alexandria via LeMat-Bulk).

Geometry as POSCAR:
```
Tb7Sm2Mg2
1.0
7.5076 1.2715 1.9660
2.4949 10.2611 -3.4386
-0.0334 -6.0262 7.0737
Tb Sm Mg
7 2 2
Direct
0.6383 0.1369 0.0929 Tb
0.3617 0.8631 0.9071 Tb
0.0000 0.5000 0.0000 Tb
0.5462 0.0418 0.3595 Tb
0.8231 0.3172 0.5414 Tb
0.1769 0.6828 0.4586 Tb
0.4538 0.9582 0.6405 Tb
0.7198 0.2374 0.8335 Sm
0.2802 0.7626 0.1665 Sm
0.9063 0.4169 0.2854 Mg
0.0937 0.5831 0.7146 Mg
```

Properties
SG: P-1, No. 2
energy relative to the elements: 0.02 eV per atom
D(E_F): 1.2117 states/eV per atom
E: -0.1496 hartree per atom
distance to the lowest polymorph of the same formula: 0 meV per atom


Question: Among the records above, which one has the lowest E?
Answer: Co5Re4B2